A relaxed RbAg2BiCl6 crystal. Source: the Alexandria database, functional GGA-PBE.

a = 7.2680 Å, b = 7.2730 Å, c = 7.7373 Å
α = 90.03°, β = 118.01°, γ = 119.97°
Space group P1 (No. 1)
Inequivalent atoms, fractional coordinates:
Rb  0.0000  0.0000  0.0000 [1 per cell]
Ag  0.5416  0.2709  0.8117 [1 per cell]
Ag  0.5945  0.7977  0.3913 [1 per cell]
Bi  0.9453  0.4727  0.4174 [1 per cell]
Cl  0.0808  0.4650  0.1495 [1 per cell]
Cl  0.0822  0.1998  0.6234 [1 per cell]
Cl  0.4239  0.8825  0.6231 [1 per cell]
Cl  0.5344  0.0697  0.1494 [1 per cell]
Cl  0.6850  0.6158  0.1497 [1 per cell]
Cl  0.7415  0.5417  0.6236 [1 per cell]

Calculated values
- V: 29.77 Å³/atom
- Magnetic moment: 0.00 μB per formula unit
- Mass density: 4.0 g/cm3
- Formation energy from raw total energies: -0.976 eV/atom

A relaxed Ag2BiS2Cl crystal. Source: the Alexandria database, functional GGA-PBE.

a = 6.3197 Å, b = 7.4416 Å, c = 6.9018 Å
α = 90.00°, β = 117.23°, γ = 90.00°
Space group P2_1/m (No. 11)
Inequivalent atoms, fractional coordinates:
Ag  0.0095  0.2500  0.4326 [2 per cell]
Ag  0.4188  0.7500  0.4298 [2 per cell]
Bi  0.3886  0.2500  0.0006 [2 per cell]
S  0.3387  0.0003  0.6767 [4 per cell]
Cl  0.0357  0.7500  0.9985 [2 per cell]

Calculated values
- V: 24.05 Å³/atom
- Magnetic moment: 0.00 μB per formula unit
- Mass density: 6.0 g/cm3
- Formation energy from raw total energies: -0.237 eV/atom

A relaxed Ag2BiSe2Cl crystal. Source: the Alexandria database, functional GGA-PBE.

a = 6.7353 Å, b = 7.6993 Å, c = 6.9801 Å
α = 90.00°, β = 118.81°, γ = 90.00°
Space group P2_1/m (No. 11)
Inequivalent atoms, fractional coordinates:
Ag  0.0000  0.2500  0.0885 [2 per cell]
Ag  0.4073  0.2500  0.9092 [2 per cell]
Bi  0.3767  0.7500  0.5009 [2 per cell]
Se  0.3326  0.5006  0.1646 [4 per cell]
Cl  0.0241  0.2500  0.4986 [2 per cell]

Calculated values
- V: 26.43 Å³/atom
- Magnetic moment: 0.00 μB per formula unit
- Mass density: 6.5 g/cm3
- Formation energy from raw total energies: -0.259 eV/atom

A relaxed TaAgBiCl2 crystal. Source: the Alexandria database, functional GGA-PBE.

a = 4.7215 Å, b = 4.7215 Å, c = 6.1023 Å
α = 90.00°, β = 90.00°, γ = 90.00°
Space group P4/mmm (No. 123)
Inequivalent atoms, fractional coordinates:
Ta  0.0000  0.0000  0.0000 [1 per cell]
Ag  0.0000  0.0000  0.5000 [1 per cell]
Bi  0.5000  0.5000  0.0000 [1 per cell]
Cl  0.0000  0.5000  0.5000 [2 per cell]

Calculated values
- V: 27.21 Å³/atom
- Magnetic moment: 2.42 μB per formula unit
- Mass density: 6.9 g/cm3
- Formation energy from raw total energies: 0.816 eV/atom

A relaxed TlAgBiCl5 crystal. Source: the Alexandria database, functional GGA-PBE.

a = 8.8679 Å, b = 12.6371 Å, c = 10.2396 Å
α = 90.00°, β = 111.71°, γ = 90.00°
Space group C2/c (No. 15)
Inequivalent atoms, fractional coordinates:
Tl  0.0000  0.1465  0.2500 [4 per cell]
Ag  0.0000  0.1897  0.7500 [4 per cell]
Bi  0.0000  0.5000  0.0000 [4 per cell]
Cl  0.0000  0.4184  0.2500 [4 per cell]
Cl  0.1136  0.3032  0.5985 [8 per cell]
Cl  0.1848  0.0586  0.9402 [8 per cell]

Calculated values
- V: 33.32 Å³/atom
- Magnetic moment: 0.00 μB per formula unit
- Mass density: 4.4 g/cm3
- Formation energy from raw total energies: -0.872 eV/atom

A relaxed Tl2AgBiCl6 crystal. Source: the Alexandria database, functional GGA-PBE.

a = 7.3654 Å, b = 7.7451 Å, c = 12.8313 Å
α = 90.00°, β = 124.47°, γ = 90.00°
Space group P2_1/c (No. 14)
Inequivalent atoms, fractional coordinates:
Tl  0.2275  0.0711  0.2497 [4 per cell]
Ag  0.0000  0.0000  0.5000 [2 per cell]
Bi  0.5000  0.0000  0.0000 [2 per cell]
Cl  0.1530  0.1975  0.9539 [4 per cell]
Cl  0.2612  0.7043  0.9556 [4 per cell]
Cl  0.3410  0.0208  0.7490 [4 per cell]

Calculated values
- V: 30.17 Å³/atom
- Magnetic moment: 0.00 μB per formula unit
- Mass density: 5.2 g/cm3
- Formation energy from raw total energies: -0.918 eV/atom